Here is a relaxed LaReRu2 crystal from Alexandria via LeMat-Bulk. Energies are from PBEsol.

The structure in CIF format:
```
data_LaReRu2
_chemical_formula_sum 'La4 Re4 Ru8'
_symmetry_space_group_name_H-M 'F -4 3 m'
_symmetry_Int_Tables_number 216
_symmetry_space_group_name_Hall 'F -4 2 3'
_cell_length_a 6.4529
_cell_length_b 6.4529
_cell_length_c 6.4529
_cell_angle_alpha 90.00
_cell_angle_beta 90.00
_cell_angle_gamma 90.00
loop_
_atom_site_label
_atom_site_fract_x
_atom_site_fract_y
_atom_site_fract_z
La1 0.0000 0.0000 0.0000
Re1 0.2500 0.2500 0.2500
Ru1 0.0000 0.0000 0.5000
Ru2 0.2500 0.2500 0.7500
```

Energy relative to the lowest polymorph listed for this composition: 25.1 kJ/mol of atoms